! PBE with a Hubbard U Ni3BO, relaxed; values from VASP
&SYSTEM
  ibrav = 0, nat = 5, ntyp = 3
/
ATOMIC_SPECIES
O 16.00 O.upf
Ni 58.69 Ni.upf
B 10.81 B.upf
CELL_PARAMETERS angstrom
3.815 0.000 0.000
0.000 3.815 0.000
0.000 0.000 3.815
ATOMIC_POSITIONS angstrom
O 0.000 0.000 0.000
Ni 1.908 0.000 0.000
Ni 0.000 1.908 0.000
Ni 0.000 0.000 1.908
B 1.908 1.908 1.908
! M_tot = 2.2 μB/f.u.
! DOS at the Fermi energy = 2.41 states/eV/f.u.
! Offset from the most stable computed form = 0 meV/atom

=====

! PBE with a Hubbard U NiBO2, relaxed; values from VASP
&SYSTEM
  ibrav = 0, nat = 16, ntyp = 3
/
ATOMIC_SPECIES
B 10.81 B.upf
Ni 58.69 Ni.upf
O 16.00 O.upf
CELL_PARAMETERS angstrom
7.038 0.000 0.359
0.000 4.965 0.000
0.777 0.000 5.296
ATOMIC_POSITIONS angstrom
B 4.678 0.321 2.234
B 6.267 0.321 0.953
B 1.548 4.645 4.702
B 3.137 4.645 3.421
Ni 0.786 3.361 1.876
Ni 3.121 3.361 0.952
Ni 4.694 1.605 4.703
Ni 7.029 1.605 3.779
O 3.015 4.446 4.902
O 3.723 1.043 3.080
O 6.853 3.922 0.612
O 4.800 0.519 0.753
O 1.670 4.446 3.221
O 0.962 1.043 5.043
O 6.145 0.519 2.434
O 4.092 3.922 2.575
! M_tot = 1.0 μB/f.u.
! E = -6.103 eV/atom

=====

! PBE with a Hubbard U NiB3O, relaxed; values from VASP
&SYSTEM
  ibrav = 0, nat = 5, ntyp = 3
/
ATOMIC_SPECIES
B 10.81 B.upf
Ni 58.69 Ni.upf
O 16.00 O.upf
CELL_PARAMETERS angstrom
3.702 0.000 0.000
0.000 3.702 0.000
0.000 0.000 3.702
ATOMIC_POSITIONS angstrom
B 0.000 0.000 1.851
B 0.000 1.851 0.000
B 1.851 0.000 0.000
Ni 0.000 0.000 0.000
O 1.851 1.851 1.851
! M_tot = 1.0 μB/f.u.
! DOS at the Fermi energy = 1.69 states/eV/f.u.
! Offset from the most stable computed form = 0 meV/atom

=====

! PBE with a Hubbard U NiBO, relaxed; values from VASP
&SYSTEM
  ibrav = 0, nat = 6, ntyp = 3
/
ATOMIC_SPECIES
B 10.81 B.upf
Ni 58.69 Ni.upf
O 16.00 O.upf
CELL_PARAMETERS angstrom
-0.814 0.587 -2.129
-1.891 -1.594 1.584
-3.246 7.006 3.174
ATOMIC_POSITIONS angstrom
B -3.851 2.243 2.091
B -1.237 -0.700 0.280
Ni -3.059 0.113 -0.100
Ni -5.336 5.028 2.126
O -4.655 3.391 1.414
O -3.862 1.680 0.639
! M_tot = 0.4 μB/f.u.
! DOS at the Fermi energy = 0.51 states/eV/f.u.
! E = -5.020 eV/atom

=====

! PBE with a Hubbard U NiBO2, relaxed; values from VASP
&SYSTEM
  ibrav = 0, nat = 4, ntyp = 3
/
ATOMIC_SPECIES
B 10.81 B.upf
Ni 58.69 Ni.upf
O 16.00 O.upf
CELL_PARAMETERS angstrom
-5.122 -0.165 0.147
-3.942 -3.092 1.088
-3.962 -0.568 3.203
ATOMIC_POSITIONS angstrom
B 0.000 0.000 0.000
Ni -6.513 -1.912 2.219
O -11.842 -3.477 4.034
O -1.184 -0.348 0.403
! M_tot = 1.3 μB/f.u.
! DOS at the Fermi energy = 2.31 states/eV/f.u.
! E = -5.851 eV/atom

=====

! PBE with a Hubbard U Ni2BO, relaxed; values from VASP
&SYSTEM
  ibrav = 0, nat = 4, ntyp = 3
/
ATOMIC_SPECIES
O 16.00 O.upf
Ni 58.69 Ni.upf
B 10.81 B.upf
CELL_PARAMETERS angstrom
0.000 2.555 2.555
2.555 0.000 2.555
2.555 2.555 0.000
ATOMIC_POSITIONS angstrom
O 2.555 2.555 2.555
Ni 3.832 3.832 3.832
Ni 1.277 1.277 1.277
B 0.000 0.000 0.000
! M_tot = 0.9 μB/f.u.
! DOS at the Fermi energy = 2.73 states/eV/f.u.
! Offset from the most stable computed form = 447 meV/atom